# TbGdInCo (PBE, optimized geometry)
data_TbGdInCo
_chemical_formula_sum 'Tb1 Gd1 In1 Co1'
_cell_length_a 5.132
_cell_length_b 5.132
_cell_length_c 5.132
_cell_angle_alpha 60.00
_cell_angle_beta 60.00
_cell_angle_gamma 60.00
_symmetry_space_group_name_H-M 'P 1'
_symmetry_Int_Tables_number 1
_symmetry_space_group_name_Hall 'P 1'
loop_
_atom_site_label
_atom_site_type_symbol
_atom_site_fract_x
_atom_site_fract_y
_atom_site_fract_z
Co1 Co 0.500 0.500 0.500
Gd1 Gd 0.750 0.750 0.750
Tb1 Tb 0.250 0.250 0.250
In1 In 0.000 0.000 0.000
# Space group: F-43m
# Magnetization, μB/cell: 5.87
# E_form, eV/f.u.: -0.74